A plane-wave DFT calculation with PBE-GGA was carried out for a geometry-optimized Mn2Pd4Au structure.

Unit cell a=9.5453 b=5.3671 c=9.0002 alpha=90.00 beta=90.00 gamma=90.00
Last column: nearest neighbours and their distance in Å.
Space group Cmce (No. 64)
Unique sites:
1 Mn 0.1963 0.0000 0.0000 x8  6 Pd 2.56-2.67
2 Pd 0.0000 0.0016 0.1937 x8  2 Mn 2.56, 1 Au 2.76, 4 Pd 2.78-2.79
3 Pd 0.2500 0.2492 0.7500 x8  4 Mn 2.67, 6 Pd 2.68-2.79
4 Au 0.0000 0.0000 0.5000 x4  2 Pd 2.76, 2 Mn 2.90

ΔE_f: 0.7 kcal/mol of atoms
energy: -6.027 eV/atom
size of the total moment: 9.4 μB/f.u.
density of states at the Fermi level: 15.6 states/eV/cell
energy above the most stable polymorph in this dataset: 2.36 kcal/mol of atoms